Here is a relaxed structure of NdThGeAu from Alexandria via LeMat-Bulk. Energies are from PBE-GGA.

Its formation enthalpy at 0 K is -727 meV per atom. The size of the total moment comes out at 0.32 μB/cell. As for the crystal system: orthorhombic. As for the density of states at the Fermi level: 3.581 states/eV/cell. The calculation puts the total energy at -5.75 eV per atom.

The structure in POSCAR format:
```
NdThGeAu
1.0
-1.294 -4.043 0.186
3.658 -1.268 -2.111
3.270 1.408 4.822
Au Th Nd Ge
1 1 1 1
Cartesian
2.200 -0.514 4.121 Au
0.724 -0.169 1.357 Th
3.063 -3.094 2.561 Nd
1.625 -2.759 -0.133 Ge
```